*i*
A plane-wave DFT calculation with PBE was carried out for crystalline Co2CuBr at its relaxed geometry.

a b c (Å): 3.7260 3.7260 8.0112
angles (deg): 90.00 90.00 90.00
Last column: nearest neighbours and their distance in Å.
Space group I4/mmm (No. 139)
Asymmetric unit:
Co1 0.0000 0.5000 0.2500  4 Co 2.63, 4 Br 2.74, 4 Cu 2.74
Cu1 0.0000 0.0000 0.0000  4 Br 2.63, 8 Co 2.74
Br1 0.0000 0.0000 0.5000  4 Cu 2.63, 8 Co 2.74

Magnetic moment   3.50 μB/f.u.
V   111.2 Å³/cell



*ii*
A plane-wave DFT calculation with PBE was carried out for crystalline Co2CuBr at its relaxed geometry.

a b c (Å): 6.0044 6.0044 6.0044
angles (deg): 90.00 90.00 90.00
Last column: nearest neighbours and their distance in Å.
Space group Fm-3m (No. 225)
Asymmetric unit:
Co1 0.2500 0.2500 0.2500  4 Br 2.60, 4 Cu 2.60
Cu1 0.0000 0.0000 0.0000  8 Co 2.60
Br1 0.0000 0.0000 0.5000  8 Co 2.60

Magnetic moment   3.06 μB/f.u.
V   216.5 Å³/cell



Least stable of them? *i*.